(1)
Hf2Mg2Zr (GGA-PBE, optimized geometry); space group = I4/mmm; formation enthalpy at 0 K = 0.0291 eV/atom
1.0
-1.587 1.587 11.164
1.587 -1.587 11.164
1.587 1.587 -11.164
Hf Mg Zr
2 2 1
Cartesian
0.000 0.000 2.212
0.000 0.000 20.116
0.000 0.000 6.677
0.000 0.000 15.651
0.000 0.000 11.164



(2)
Th5Ga2Os2 (GGA-PBE, optimized geometry); space group = Ima2; formation enthalpy at 0 K = -0.2337 eV/atom
1.0
-8.326 3.957 3.696
8.326 -3.957 3.696
8.326 3.957 -3.696
Th Ga Os
10 4 4
Cartesian
10.870 2.728 -1.463
5.781 -1.228 2.232
0.960 1.436 0.000
7.366 1.436 0.000
-2.545 1.228 2.232
10.870 1.228 2.232
4.163 2.759 1.526
0.960 2.521 3.696
7.366 2.521 3.696
4.163 1.198 5.222
-1.240 3.658 1.163
1.240 -0.298 4.859
1.240 4.255 1.163
7.086 4.255 1.163
12.489 -0.130 0.238
4.163 0.130 0.238
0.000 0.000 2.359
8.326 0.000 2.359



(3)
PmDyH2 (GGA-PBE, optimized geometry); DFT total energy = -17.23 eV/cell; space group = R3m
1.0
1.771 1.022 5.974
-1.771 1.022 5.974
0.000 -2.045 5.974
Pm Dy H
1 1 2
Cartesian
0.000 0.000 0.000
0.000 0.000 3.211
0.000 0.000 10.447
0.000 0.000 13.892



(4)
NdSm3Ru8 (GGA-PBE, optimized geometry); space group = R3m; formation enthalpy at 0 K = -0.1824 eV/atom
1.0
2.697 1.557 8.856
-2.697 1.557 8.856
0.000 -3.114 8.856
Nd Sm Ru
1 3 8
Cartesian
0.000 0.000 0.000
0.000 0.000 9.967
0.000 0.000 13.280
0.000 0.000 23.249
0.000 0.000 4.859
0.000 -1.589 16.021
-1.376 0.795 16.021
-1.314 -0.759 20.472
0.000 0.000 18.147
1.314 -0.759 20.472
0.000 1.517 20.472
1.376 0.795 16.020



(5)
MgBeAgAu (GGA-PBE, optimized geometry); space group = F-43m; formation enthalpy at 0 K = -0.1373 eV/atom
1.0
0.000 3.141 3.141
3.141 0.000 3.141
3.141 3.141 0.000
Mg Be Ag Au
1 1 1 1
Cartesian
0.000 0.000 0.000
3.141 3.141 3.141
1.570 1.570 1.570
4.711 4.711 4.711



(6)
Na2PmPN4 (GGA-PBE, optimized geometry); E_form (uncorrected) = -307 meV/atom; space group = I-42m
1.0
-2.948 2.948 3.113
2.948 -2.948 3.113
2.948 2.948 -3.113
Na Pm P N
2 1 1 4
Cartesian
2.948 0.000 1.557
0.000 2.948 1.557
0.000 0.000 0.000
0.000 0.000 3.113
0.972 -0.972 2.206
1.976 1.976 0.908
-0.972 0.972 2.206
0.972 0.972 4.021



(7)
Li2PrIn (GGA-PBE, optimized geometry); space group = Fm-3m; formation enthalpy at 0 K = -0.3164 eV/atom
1.0
0.000 3.522 3.522
3.522 0.000 3.522
3.522 3.522 0.000
Li Pr In
2 1 1
Cartesian
1.761 1.761 1.761
5.283 5.283 5.283
0.000 0.000 0.000
3.522 3.522 3.522



(8)
LaMnTl2 (GGA-PBE, optimized geometry); space group = C2/m; formation enthalpy at 0 K = -0.0047 eV/atom
1.0
4.103 -2.362 0.000
4.103 2.362 0.000
-2.720 0.000 5.611
La Mn Tl
1 1 2
Cartesian
0.000 0.000 0.000
2.743 0.000 2.806
0.012 0.000 3.760
5.475 0.000 1.852